The following is a DFT calculation (PBE) of a relaxed Hf3CdC crystal.

POSCAR file:
```
Hf3CdC
1.0
-3.090 3.090 5.610
3.090 -3.090 5.610
3.090 3.090 -5.610
Hf Cd C
6 2 2
Cartesian
0.000 0.000 1.463
3.090 1.548 1.381
1.548 3.090 -1.381
1.542 0.000 4.229
0.000 0.000 9.758
0.000 1.542 6.991
0.000 3.090 1.349
0.000 3.090 4.261
3.090 0.000 2.805
0.000 0.000 5.610
```

Energy relative to the lowest polymorph listed for this composition: 753 meV per atom
Energy of formation: 0.32 eV per atom
Electronic total energy: -38.404 eV/f.u.
Calculated volume: 214.3 Å³/cell